1.
Density functional theory data (PBE) for a relaxed structure of Tc. Values from VASP.

Output
As for the crystal system: hexagonal. As for the excess energy over the best structure of this formula in the dataset: 1.0769 eV/atom. As for the spin magnetization: 0.0 μB/f.u. The formation energy comes out at 1077 meV per atom.

Cell and atoms, written as Quantum ESPRESSO input:
```
&SYSTEM
  ibrav = 0, nat = 4, ntyp = 1
/
ATOMIC_SPECIES
Tc 98.00 Tc.upf
CELL_PARAMETERS angstrom
-2.643 3.195 -0.324
-1.123 -3.425 2.074
1.800 1.907 4.122
ATOMIC_POSITIONS angstrom
Tc 0.450 0.477 1.031
Tc 1.350 1.430 3.092
Tc -1.179 -0.742 2.306
Tc -0.786 2.418 3.567
```

***

2.
Density functional theory data (PBE) for a relaxed structure of Na2InGa3Au4. Values from VASP.

Output
As for the crystal system: tetragonal. As for the spin magnetization: 0.0 μB/f.u. The formation energy comes out at -293 meV per atom.

Cell and atoms, written as Quantum ESPRESSO input:
```
&SYSTEM
  ibrav = 0, nat = 10, ntyp = 4
/
ATOMIC_SPECIES
Na 22.99 Na.upf
In 114.82 In.upf
Ga 69.72 Ga.upf
Au 196.97 Au.upf
CELL_PARAMETERS angstrom
4.502 0.000 0.000
0.000 4.502 0.000
0.000 0.000 10.973
ATOMIC_POSITIONS angstrom
Na 2.251 0.000 2.571
Na 0.000 2.251 8.401
In 2.251 2.251 5.486
Ga 0.000 0.000 5.486
Ga 2.251 0.000 9.624
Ga 0.000 2.251 1.348
Au 2.251 2.251 0.000
Au 0.000 0.000 0.000
Au 2.251 0.000 7.106
Au 0.000 2.251 3.867
```

***

3.
Density functional theory data (PBE) for a relaxed structure of Pm2MnP4Pd3. Values from VASP.

Output
As for the crystal system: tetragonal. As for the spin magnetization: 3.3 μB/f.u. The formation energy comes out at -866 meV per atom.

Cell and atoms, written as Quantum ESPRESSO input:
```
&SYSTEM
  ibrav = 0, nat = 10, ntyp = 4
/
ATOMIC_SPECIES
Pm 145.00 Pm.upf
Mn 54.94 Mn.upf
P 30.97 P.upf
Pd 106.42 Pd.upf
CELL_PARAMETERS angstrom
-2.641 -2.937 1.593
3.170 -2.844 0.012
2.386 2.698 8.929
ATOMIC_POSITIONS angstrom
Pm -0.749 -0.822 2.934
Pm 3.400 0.630 6.797
Mn 1.458 -1.541 5.267
P 0.265 -2.890 0.802
P 0.000 0.000 0.000
P 0.183 0.231 6.421
P 2.468 -0.424 3.310
Pd 1.193 1.349 4.464
Pd 0.781 0.907 8.659
Pd 1.870 -1.100 1.072
```

***

4.
Density functional theory data (PBE) for a relaxed structure of GdLuBeCo. Values from VASP.

Output
As for the crystal system: cubic. As for the spin magnetization: 6.9 μB/f.u. The formation energy comes out at -46 meV per atom.

Cell and atoms, written as Quantum ESPRESSO input:
```
&SYSTEM
  ibrav = 0, nat = 4, ntyp = 4
/
ATOMIC_SPECIES
Gd 157.25 Gd.upf
Be 9.01 Be.upf
Lu 174.97 Lu.upf
Co 58.93 Co.upf
CELL_PARAMETERS angstrom
-1.875 -1.514 4.070
-2.570 -3.970 0.088
1.712 -3.881 2.094
ATOMIC_POSITIONS angstrom
Gd -2.050 -7.024 4.689
Be 0.000 0.000 0.000
Lu -0.683 -2.341 1.563
Co -1.367 -4.682 3.126
```

***

5.
Density functional theory data (PBE) for a relaxed structure of Zn3Au. Values from VASP.

Output
As for the crystal system: orthorhombic. As for the spin magnetization: 0.0 μB/f.u. The formation energy comes out at -123 meV per atom.

Cell and atoms, written as Quantum ESPRESSO input:
```
&SYSTEM
  ibrav = 0, nat = 4, ntyp = 2
/
ATOMIC_SPECIES
Zn 65.41 Zn.upf
Au 196.97 Au.upf
CELL_PARAMETERS angstrom
-4.237 -1.200 -1.876
0.745 -2.871 0.153
-3.472 -2.268 3.185
ATOMIC_POSITIONS angstrom
Zn -1.541 -3.390 1.564
Zn -1.727 -2.030 -0.853
Zn -4.019 -2.552 0.518
Au -0.009 -0.003 -0.004
```

***

6.
Density functional theory data (PBE) for a relaxed structure of SrPr5Nd6. Values from VASP.

Output
As for the crystal system: monoclinic. As for the spin magnetization: 0.0 μB/f.u. The formation energy comes out at 49 meV per atom.

Cell and atoms, written as Quantum ESPRESSO input:
```
&SYSTEM
  ibrav = 0, nat = 12, ntyp = 3
/
ATOMIC_SPECIES
Pr 140.91 Pr.upf
Sr 87.62 Sr.upf
Nd 144.24 Nd.upf
CELL_PARAMETERS angstrom
6.396 0.013 -0.934
-1.080 8.277 0.196
0.123 0.641 8.324
ATOMIC_POSITIONS angstrom
Pr 2.326 6.963 1.135
Pr -0.672 5.686 2.954
Pr 2.720 4.466 3.793
Pr -0.285 3.232 5.566
Pr 3.113 1.969 6.450
Sr 0.000 0.000 0.000
Nd 3.858 7.957 4.256
Nd 1.170 3.588 0.548
Nd 0.949 6.665 6.120
Nd 4.491 2.267 1.465
Nd 4.269 5.344 7.037
Nd 1.582 0.975 3.330
```

***

7.
Density functional theory data (PBE) for a relaxed structure of SrCu2N. Values from VASP.

Output
As for the crystal system: cubic. As for the spin magnetization: 0.0 μB/f.u. The calculation puts the uncorrected formation energy at 0.099 eV/atom.

Cell and atoms, written as Quantum ESPRESSO input:
```
&SYSTEM
  ibrav = 0, nat = 8, ntyp = 3
/
ATOMIC_SPECIES
Sr 87.62 Sr.upf
Cu 63.55 Cu.upf
N 14.01 N.upf
CELL_PARAMETERS angstrom
-0.829 0.699 -5.920
-5.936 0.453 0.885
-2.994 4.796 -2.074
ATOMIC_POSITIONS angstrom
Sr 0.000 0.000 0.000
Sr -3.603 3.036 -5.256
Cu -1.801 1.518 -2.627
Cu -4.770 1.745 -2.186
Cu -6.267 4.143 -3.222
Cu -6.681 4.492 -6.183
N -3.383 0.576 -2.518
N -6.157 2.913 -1.853
```

***

8.
Density functional theory data (PBE) for a relaxed structure of TbNdHo2N4. Values from VASP.

Output
As for the crystal system: monoclinic. As for the spin magnetization: 0.0 μB/f.u. The calculation puts the uncorrected formation energy at -1.606 eV/atom.

Cell and atoms, written as Quantum ESPRESSO input:
```
&SYSTEM
  ibrav = 0, nat = 8, ntyp = 4
/
ATOMIC_SPECIES
Tb 158.93 Tb.upf
Nd 144.24 Nd.upf
Ho 164.93 Ho.upf
N 14.01 N.upf
CELL_PARAMETERS angstrom
3.514 0.000 0.000
0.000 6.085 0.109
0.000 -2.127 5.704
ATOMIC_POSITIONS angstrom
Tb 0.000 0.000 0.000
Nd 1.757 3.042 0.055
Ho 1.757 -1.063 2.852
Ho 0.000 1.979 2.907
N 1.757 0.963 1.487
N 1.757 2.995 4.326
N 0.000 -0.099 4.251
N 0.000 4.057 1.562
```

***

9.
Density functional theory data (PBE) for a relaxed structure of MnAlSe2. Values from VASP.

Output
As for the crystal system: monoclinic. As for the spin magnetization: 4.1 μB/f.u. The calculation puts the uncorrected formation energy at -0.340 eV/atom.

Cell and atoms, written as Quantum ESPRESSO input:
```
&SYSTEM
  ibrav = 0, nat = 4, ntyp = 3
/
ATOMIC_SPECIES
Mn 54.94 Mn.upf
Al 26.98 Al.upf
Se 78.96 Se.upf
CELL_PARAMETERS angstrom
-6.195 0.180 -1.084
-5.047 -3.337 -1.724
0.482 -0.514 3.688
ATOMIC_POSITIONS angstrom
Mn -8.082 -2.757 0.660
Al -5.410 -1.846 0.443
Se -10.494 -3.580 0.859
Se -2.913 -0.994 0.237
```

***

10.
Density functional theory data (PBE) for a relaxed structure of La8Sm2Y3. Values from VASP.

Output
As for the crystal system: monoclinic. As for the excess energy over the best structure of this formula in the dataset: 0.0261 eV/atom. As for the spin magnetization: 0.0 μB/f.u. The formation energy comes out at 173 meV per atom.

Cell and atoms, written as Quantum ESPRESSO input:
```
&SYSTEM
  ibrav = 0, nat = 13, ntyp = 3
/
ATOMIC_SPECIES
La 138.91 La.upf
Sm 150.36 Sm.upf
Y 88.91 Y.upf
CELL_PARAMETERS angstrom
-2.632 1.271 -5.068
-6.870 0.136 3.601
4.644 10.088 0.122
ATOMIC_POSITIONS angstrom
La -3.016 3.602 2.466
La -1.842 7.893 -3.812
La 0.319 2.682 0.507
La -5.177 8.813 -1.853
La -1.732 8.696 -0.293
La 1.014 8.641 -1.732
La -5.872 2.853 0.386
La -3.126 2.799 -1.053
Sm -0.733 5.520 -1.607
Sm -4.125 5.974 0.261
Y -1.316 0.635 -2.534
Y -1.934 0.038 1.014
Y -4.936 0.098 2.587
```

***

11.
Density functional theory data (PBE) for a relaxed structure of ZnSO2. Values from VASP.

Output
As for the crystal system: trigonal. As for the excess energy over the best structure of this formula in the dataset: 0.0000 eV/atom. As for the spin magnetization: 0.0 μB/f.u. The calculation puts the uncorrected formation energy at -0.694 eV/atom.

Cell and atoms, written as Quantum ESPRESSO input:
```
&SYSTEM
  ibrav = 0, nat = 4, ntyp = 3
/
ATOMIC_SPECIES
Zn 65.41 Zn.upf
S 32.06 S.upf
O 16.00 O.upf
CELL_PARAMETERS angstrom
1.746 0.000 5.797
-0.873 1.512 5.797
-0.873 -1.512 5.797
ATOMIC_POSITIONS angstrom
Zn 0.000 0.000 8.695
S 0.000 0.000 0.000
O 0.000 0.000 15.638
O 0.000 0.000 1.752
```

***

12.
Density functional theory data (PBE) for a relaxed structure of PrYTh2S4. Values from VASP.

Output
As for the crystal system: monoclinic. As for the spin magnetization: 0.0 μB/f.u. The calculation puts the uncorrected formation energy at -1.904 eV/atom.

Cell and atoms, written as Quantum ESPRESSO input:
```
&SYSTEM
  ibrav = 0, nat = 8, ntyp = 4
/
ATOMIC_SPECIES
Pr 140.91 Pr.upf
Y 88.91 Y.upf
Th 232.04 Th.upf
S 32.06 S.upf
CELL_PARAMETERS angstrom
4.027 0.000 0.000
0.000 6.914 0.108
0.000 -2.427 6.600
ATOMIC_POSITIONS angstrom
Pr 2.013 3.457 0.054
Y 0.000 0.000 0.000
Th 2.013 -1.213 3.300
Th 0.000 2.244 3.354
S 2.013 1.073 1.623
S 2.013 3.414 5.085
S 0.000 -0.145 4.996
S 0.000 4.632 1.712
```

***

Q: What is the spin magnetization in the second record?
A: 0.0 μB/f.u.

***

Q: Which value of spin magnetization does entry 4 give?
A: 6.9 μB/f.u.